# AcNbSn2, optimized geometry, DFT PBE
# - relative energy among the computed polymorphs (eV/f.u.) = 1.86
# - ΔE_f (eV/atom) = 0.259
# - DOS(E_F) (states/eV per cell) = 3.4
# - calculated total energy (eV for the cell shown) = -21.149
# - crystal system = trigonal
data_AcNbSn2
_chemical_formula_sum 'Ac1 Nb1 Sn2'
_cell_length_a 3.365
_cell_length_b 3.365
_cell_length_c 11.631
_cell_angle_alpha 81.68
_cell_angle_beta 81.68
_cell_angle_gamma 60.00
_space_group_name_H-M_alt 'P 1'
_space_group_IT_number 1
loop_
_space_group_symop_operation_xyz
'x,y,z'
loop_
_atom_site_label
_atom_site_fract_x
_atom_site_fract_y
_atom_site_fract_z
Ac1 0.000 0.000 0.000
Sn1 0.100 0.100 0.701
Sn2 0.900 0.900 0.299
Nb1 0.500 0.500 0.500